Entry 1:
DFT (PBE-GGA) results for a relaxed KIrRh2 crystal.

## Properties
volume	423	Å³ per cell
formation enthalpy at 0 K	0.895	eV per atom
calculated density	6.9	g/cm3

Lattice parameters (Å, degrees): 5.114 5.114 16.158 90.00 90.00 90.00
Space group I-42d (No. 122)
Inequivalent atoms, fractional coordinates:
K 0.000 0.000 0.000 x4
Ir 0.000 0.000 0.500 x4
Rh 0.075 0.250 0.625 x8

Entry 2:
DFT (PBE-GGA) results for a relaxed KIrRh2 crystal.

## Properties
volume	162	Å³ per cell
formation enthalpy at 0 K	0.542	eV per atom
calculated density	9.0	g/cm3

Lattice parameters (Å, degrees): 8.983 2.755 6.595 90.00 96.68 90.00
Space group Cm (No. 8)
Inequivalent atoms, fractional coordinates:
K 0.000 0.000 0.000 x2
Ir 0.266 0.500 0.353 x2
Rh 0.000 0.500 0.482 x2
Rh 0.230 0.000 0.672 x2

Entry 3:
DFT (PBE-GGA) results for a relaxed KIrRh2 crystal.

## Properties
volume	71	Å³ per cell
formation enthalpy at 0 K	0.470	eV per atom
calculated density	10.3	g/cm3

Lattice parameters (Å, degrees): 2.785 2.785 9.127 90.00 90.00 90.00
Space group P4mm (No. 99)
Inequivalent atoms, fractional coordinates:
K 0.000 0.000 0.000 x1
Ir 0.500 0.500 0.700 x1
Rh 0.000 0.000 0.502 x1
Rh 0.500 0.500 0.301 x1

Entry 4:
DFT (PBE-GGA) results for a relaxed K3IrRh crystal.

## Properties
volume	222	Å³ per cell
formation enthalpy at 0 K	1.382	eV per atom
calculated density	3.1	g/cm3

Lattice parameters (Å, degrees): 6.053 6.053 6.053 90.00 90.00 90.00
Space group Pm-3m (No. 221)
Inequivalent atoms, fractional coordinates:
K 0.000 0.000 0.500 x3
Ir 0.000 0.000 0.000 x1
Rh 0.500 0.500 0.500 x1

Entry 5:
DFT (PBE-GGA) results for a relaxed KIrRh2 crystal.

## Properties
volume	135	Å³ per cell
formation enthalpy at 0 K	1.023	eV per atom
calculated density	10.7	g/cm3

Lattice parameters (Å, degrees): 4.084 4.084 8.118 90.00 90.00 90.00
Space group I-4m2 (No. 119)
Inequivalent atoms, fractional coordinates:
K 0.000 0.000 0.000 x2
Ir 0.000 0.500 0.250 x2
Rh 0.000 0.000 0.500 x2
Rh 0.000 0.500 0.750 x2

Entry 6:
DFT (PBE-GGA) results for a relaxed KIr3Rh crystal.

## Properties
volume	113	Å³ per cell
formation enthalpy at 0 K	1.609	eV per atom
calculated density	10.6	g/cm3

Lattice parameters (Å, degrees): 4.832 4.832 4.832 90.00 90.00 90.00
Space group Pm-3m (No. 221)
Inequivalent atoms, fractional coordinates:
K 0.000 0.000 0.000 x1
Ir 0.000 0.500 0.500 x3
Rh 0.500 0.500 0.500 x1